Record 1
4
Lattice="4.854 0.003 0.001 4.063 2.656 0.001 0.743 0.221 4.772" Properties=species:S:1:pos:R:3 comment="PBE MgOsPt2, relaxed" space_group=Cm m_tot_mub_per_fu=0.00 dos_ef_per_ev_atom=0.5286 dft_energy_ev_per_cell=-25.89 pbc="T T T"
Mg 4.854 1.448 2.497
Pt 7.254 2.164 3.464
Pt 8.902 2.655 0.166
Os 2.398 0.715 1.035

=====

Record 2
4
Lattice="-2.765 -4.660 -2.234 1.253 -5.583 1.270 -1.742 5.396 1.485" Properties=species:S:1:pos:R:3 comment="PBE Mg2OsPt, relaxed" space_group=Imm2 m_tot_mub_per_fu=0.00 dos_ef_per_ev_atom=0.6216 dft_energy_ev_per_cell=-20.91 pbc="T T T"
Mg -0.044 -0.296 -0.028
Mg -2.590 -1.910 -0.589
Pt -0.648 -2.829 1.120
Os -0.728 -4.934 -0.464

=====

Record 3
4
Lattice="-1.328 -1.887 -1.554 1.237 -2.044 1.424 -6.084 -0.033 5.238" Properties=species:S:1:pos:R:3 comment="PBE MgOsPt2, relaxed" space_group=P4mm m_tot_mub_per_fu=0.00 dos_ef_per_ev_atom=0.9027 dft_energy_ev_per_cell=-25.36 pbc="T T T"
Pt -1.578 -1.974 1.255
Pt -6.021 -0.033 5.184
Os -4.670 -1.990 3.918
Mg -3.030 -0.016 2.609

=====

Record 4
4
Lattice="-0.595 -0.908 3.780 -1.404 -3.517 -1.066 3.637 -1.515 0.208" Properties=species:S:1:pos:R:3 comment="PBE MgOsPt2, relaxed" space_group=P4/mmm m_tot_mub_per_fu=0.00 dos_ef_per_ev_atom=1.0540 dft_energy_ev_per_cell=-25.34 pbc="T T T"
Pt 0.000 0.000 0.000
Pt -0.999 -2.213 1.357
Mg 1.521 -1.211 1.994
Os 1.116 -2.516 -0.429

=====

Record 5
4
Lattice="2.815 -0.003 0.000 0.002 2.815 0.000 0.000 0.000 8.542" Properties=species:S:1:pos:R:3 comment="PBE Mg2OsPt, relaxed" space_group=P4mm m_tot_mub_per_fu=0.00 dos_ef_per_ev_atom=0.6667 dft_energy_ev_per_cell=-20.59 pbc="T T T"
Os 0.000 0.000 4.394
Mg 1.409 1.406 2.399
Mg 0.000 0.000 8.272
Pt 1.409 1.406 6.290

=====

Record 6
3
Lattice="4.267 0.000 0.000 2.134 3.696 0.000 2.134 1.232 3.484" Properties=species:S:1:pos:R:3 comment="PBE MgOsPt, relaxed" space_group=F-43m m_tot_mub_per_fu=0.00 dos_ef_per_ev_atom=1.2129 dft_energy_ev_per_cell=-17.80 pbc="T T T"
Pt 6.401 3.696 2.613
Os 4.267 2.464 1.742
Mg 0.000 0.000 0.000

=====

Record 7
4
Lattice="6.246 0.006 0.018 -2.513 4.106 0.001 1.221 0.748 2.374" Properties=species:S:1:pos:R:3 comment="PBE MgOsPt2, relaxed" space_group=Cmmm m_tot_mub_per_fu=0.00 dos_ef_per_ev_atom=0.9684 dft_energy_ev_per_cell=-26.07 pbc="T T T"
Mg -0.646 2.427 1.187
Os 1.867 2.056 0.009
Pt 0.000 0.000 0.000
Pt 3.734 0.377 1.196

=====

Record 8
4
Lattice="4.814 -0.015 0.000 1.590 4.543 0.000 -3.202 -2.264 2.792" Properties=species:S:1:pos:R:3 comment="PBE MgOsPt2, relaxed" space_group=I-4m2 m_tot_mub_per_fu=0.00 dos_ef_per_ev_atom=1.0066 dft_energy_ev_per_cell=-25.27 pbc="T T T"
Os 2.407 -0.007 1.396
Mg 3.202 2.264 0.000
Pt 0.000 0.000 0.000
Pt 0.795 2.272 1.396

=====

Record 9
10
Lattice="6.659 0.000 0.000 0.000 6.659 0.000 0.000 0.000 3.962" Properties=species:S:1:pos:R:3 comment="PBE Mg2OsPt2, relaxed" space_group=P4/mbm m_tot_mub_per_fu=1.42 dos_ef_per_ev_atom=0.6792 dft_energy_ev_per_cell=-54.72 pbc="T T T"
Os 0.000 0.000 0.000
Os 3.329 3.329 0.000
Mg 4.468 5.520 1.981
Mg 1.139 4.468 1.981
Mg 2.191 1.139 1.981
Mg 5.520 2.191 1.981
Pt 4.240 0.911 0.000
Pt 0.911 2.418 0.000
Pt 5.748 4.240 0.000
Pt 2.418 5.748 0.000

=====

Record 10
4
Lattice="-0.794 -4.227 -2.138 0.422 -3.492 3.271 -2.540 4.076 0.017" Properties=species:S:1:pos:R:3 comment="PBE MgOsPt2, relaxed" space_group=I4/mmm m_tot_mub_per_fu=0.00 dos_ef_per_ev_atom=0.6760 dft_energy_ev_per_cell=-25.41 pbc="T T T"
Os -1.760 -2.005 -0.777
Pt -0.186 -3.859 0.567
Pt 0.000 0.000 0.000
Mg -1.152 -1.637 1.927

=====

Record 11
4
Lattice="-3.034 2.339 -2.530 -3.384 -2.656 1.603 -0.416 1.880 2.238" Properties=species:S:1:pos:R:3 comment="PBE Mg2OsPt, relaxed" space_group=P4/mmm m_tot_mub_per_fu=0.00 dos_ef_per_ev_atom=1.1326 dft_energy_ev_per_cell=-20.98 pbc="T T T"
Os -1.725 2.110 -0.146
Pt -1.900 -0.388 1.920
Mg -3.209 -0.159 -0.463
Mg 0.000 0.000 0.000

=====

Record 12
4
Lattice="4.578 0.000 0.000 0.000 2.776 -0.001 0.000 0.001 4.816" Properties=species:S:1:pos:R:3 comment="PBE MgOsPt2, relaxed" space_group=Pmm2 m_tot_mub_per_fu=0.00 dos_ef_per_ev_atom=0.8107 dft_energy_ev_per_cell=-26.01 pbc="T T T"
Os 2.289 1.736 3.938
Pt 2.289 0.347 1.500
Pt 0.000 0.348 4.495
Mg 0.000 1.736 2.106

=====

Record 13
3
Lattice="2.798 0.000 0.000 -1.399 2.423 0.000 0.000 0.000 6.807" Properties=species:S:1:pos:R:3 comment="PBE MgOsPt, relaxed" space_group=P3m1 m_tot_mub_per_fu=0.00 dos_ef_per_ev_atom=0.3276 dft_energy_ev_per_cell=-18.92 pbc="T T T"
Pt 0.000 1.615 4.544
Mg 0.000 0.000 6.789
Os 1.399 0.808 2.282

=====

Record 14
5
Lattice="5.056 0.000 0.000 0.000 4.684 0.000 0.000 0.000 5.056" Properties=species:S:1:pos:R:3 comment="PBE RbMg2OsPt, relaxed" space_group=P4/mmm m_tot_mub_per_fu=0.00 dos_ef_per_ev_atom=0.7796 dft_energy_ev_per_cell=-9.54 pbc="T T T"
Mg 0.000 0.000 2.528
Mg 2.528 0.000 0.000
Pt 2.528 2.342 2.528
Os 0.000 2.342 0.000
Rb 0.000 0.000 0.000

=====

Record 15
5
Lattice="-1.749 4.048 -0.331 -2.306 -0.687 3.783 3.365 1.646 2.351" Properties=species:S:1:pos:R:3 comment="PBE MgOsPtRh2, relaxed" space_group=P4/mmm m_tot_mub_per_fu=3.93 dos_ef_per_ev_atom=1.1886 dft_energy_ev_per_cell=-26.10 pbc="T T T"
Rh 1.682 0.823 1.175
Rh -0.874 2.024 -0.166
Pt -1.153 -0.343 1.891
Os -0.345 2.504 2.901
Mg 0.000 0.000 0.000

=====

Record 16
5
Lattice="-0.832 4.727 -0.669 -4.435 -0.668 0.791 0.722 0.796 4.725" Properties=species:S:1:pos:R:3 comment="PBE MgTa2OsPt, relaxed" space_group=P4/mmm m_tot_mub_per_fu=0.13 dos_ef_per_ev_atom=1.2091 dft_energy_ev_per_cell=-36.23 pbc="T T T"
Mg -2.218 -0.334 0.395
Ta -0.416 2.364 -0.335
Ta 0.361 0.398 2.363
Os -2.272 2.427 2.423
Pt 0.000 0.000 0.000

=====

Record 17
6
Lattice="-2.575 -1.266 1.642 2.530 -0.400 3.661 -0.804 7.772 1.405" Properties=species:S:1:pos:R:3 comment="PBE PuMgOs, relaxed" space_group=Cmcm m_tot_mub_per_fu=4.54 dos_ef_per_ev_atom=2.0445 dft_energy_ev_per_cell=-53.87 pbc="T T T"
Os -1.021 4.633 5.302
Os 0.172 1.471 1.405
Mg -1.714 2.879 2.863
Mg 0.865 3.225 3.845
Pu -1.179 6.083 2.843
Pu 0.330 0.022 3.864

=====

Record 18
5
Lattice="3.188 0.000 -0.512 -0.082 3.187 -0.512 0.170 0.174 11.248" Properties=species:S:1:pos:R:3 comment="PBE Pu2Mg2Os, relaxed" space_group=I4/mmm m_tot_mub_per_fu=10.50 dos_ef_per_ev_atom=1.8821 dft_energy_ev_per_cell=-43.18 pbc="T T T"
Pu 1.441 1.479 8.981
Pu 1.835 1.883 1.244
Mg 0.688 0.706 4.286
Mg 2.588 2.655 5.939
Os 0.000 0.000 0.000

=====

Record 19
3
Lattice="-1.629 -2.704 0.251 0.984 -0.861 -2.884 5.217 -0.936 3.798" Properties=species:S:1:pos:R:3 comment="PBE PuMgOs, relaxed" space_group=I4mm m_tot_mub_per_fu=4.59 dos_ef_per_ev_atom=1.9577 dft_energy_ev_per_cell=-26.85 pbc="T T T"
Os 2.759 -1.533 1.399
Mg 1.105 -2.575 -0.593
Pu 3.812 -4.079 0.780

=====

Record 20
4
Lattice="4.590 0.000 0.000 2.295 3.975 0.000 2.295 1.325 3.748" Properties=species:S:1:pos:R:3 comment="PBE PuMgOsRu, relaxed" space_group=F-43m m_tot_mub_per_fu=3.70 dos_ef_per_ev_atom=1.2186 dft_energy_ev_per_cell=-36.65 pbc="T T T"
Ru 6.885 3.975 2.811
Pu 4.590 2.650 1.874
Mg 0.000 0.000 0.000
Os 2.295 1.325 0.937

=====

Record 21
4
Lattice="4.842 0.000 0.000 2.421 4.193 0.000 2.421 1.398 3.953" Properties=species:S:1:pos:R:3 comment="PBE PuMgScOs, relaxed" space_group=F-43m m_tot_mub_per_fu=5.55 dos_ef_per_ev_atom=1.9921 dft_energy_ev_per_cell=-33.58 pbc="T T T"
Os 2.421 1.398 0.988
Sc 4.842 2.795 1.977
Pu 0.000 0.000 0.000
Mg 7.263 4.193 2.965

=====

Record 22
4
Lattice="5.029 0.000 0.000 2.515 4.356 0.000 2.515 1.452 4.107" Properties=species:S:1:pos:R:3 comment="PBE SmPuMgOs, relaxed" space_group=F-43m m_tot_mub_per_fu=5.63 dos_ef_per_ev_atom=2.0599 dft_energy_ev_per_cell=-31.55 pbc="T T T"
Pu 2.515 1.452 1.027
Mg 0.000 0.000 0.000
Sm 7.544 4.356 3.080
Os 5.029 2.904 2.053

=====

Record 23
4
Lattice="-3.338 -2.737 -2.130 -0.334 -4.676 1.093 -3.762 -1.617 2.532" Properties=species:S:1:pos:R:3 comment="PBE PuMgSnOs, relaxed" space_group=F-43m m_tot_mub_per_fu=4.93 dos_ef_per_ev_atom=2.0603 dft_energy_ev_per_cell=-30.96 pbc="T T T"
Os -5.576 -6.773 1.121
Pu -3.717 -4.515 0.748
Mg -1.859 -2.258 0.374
Sn 0.000 0.000 0.000

=====

Record 24
4
Lattice="-4.475 1.614 1.501 -1.619 -1.058 4.599 -0.329 3.615 3.422" Properties=species:S:1:pos:R:3 comment="PBE TbPuMgOs, relaxed" space_group=F-43m m_tot_mub_per_fu=5.58 dos_ef_per_ev_atom=2.0151 dft_energy_ev_per_cell=-31.66 pbc="T T T"
Os -3.212 2.086 4.761
Mg 0.000 0.000 0.000
Pu -4.818 3.129 7.141
Tb -1.606 1.043 2.380

=====

Record 25
4
Lattice="4.592 0.000 0.000 2.296 3.977 0.000 2.296 1.326 3.749" Properties=species:S:1:pos:R:3 comment="PBE PuMgTcOs, relaxed" space_group=F-43m m_tot_mub_per_fu=3.17 dos_ef_per_ev_atom=1.4040 dft_energy_ev_per_cell=-37.22 pbc="T T T"
Mg 2.296 1.326 0.937
Os 4.592 2.651 1.875
Pu 6.888 3.977 2.812
Tc 0.000 0.000 0.000

=====

Record 26
4
Lattice="-0.613 -4.312 2.344 -1.055 -4.088 -2.577 3.389 -3.572 -0.467" Properties=species:S:1:pos:R:3 comment="PBE TmPuMgOs, relaxed" space_group=F-43m m_tot_mub_per_fu=5.52 dos_ef_per_ev_atom=1.9568 dft_energy_ev_per_cell=-31.66 pbc="T T T"
Pu 1.291 -8.979 -0.525
Mg 0.000 0.000 0.000
Os 0.861 -5.986 -0.350
Tm 0.430 -2.993 -0.175

=====

Record 27
4
Lattice="-2.768 0.822 4.066 1.423 -1.860 4.403 1.666 3.052 3.576" Properties=species:S:1:pos:R:3 comment="PBE YPuMgOs, relaxed" space_group=F-43m m_tot_mub_per_fu=5.59 dos_ef_per_ev_atom=2.0157 dft_energy_ev_per_cell=-33.49 pbc="T T T"
Os 0.160 1.007 6.023
Pu 0.080 0.503 3.011
Mg 0.000 0.000 0.000
Y 0.240 1.510 9.034

=====

Record 28
4
Lattice="4.723 0.000 0.000 2.361 4.090 0.000 2.361 1.363 3.856" Properties=species:S:1:pos:R:3 comment="PBE PuMgZnOs, relaxed" space_group=F-43m m_tot_mub_per_fu=5.03 dos_ef_per_ev_atom=2.4786 dft_energy_ev_per_cell=-27.98 pbc="T T T"
Zn 0.000 0.000 0.000
Pu 7.084 4.090 2.892
Mg 2.361 1.363 0.964
Os 4.723 2.727 1.928

=====

Record 29
5
Lattice="-4.880 -4.296 -0.813 3.108 -2.552 -5.173 3.075 -4.238 3.939" Properties=species:S:1:pos:R:3 comment="PBE Rb3MgOs, relaxed" space_group=Pm-3m m_tot_mub_per_fu=2.95 dos_ef_per_ev_atom=0.7233 dft_energy_ev_per_cell=-9.47 pbc="T T T"
Rb 1.554 -1.276 -2.586
Rb 1.537 -2.119 1.969
Rb -2.440 -2.148 -0.407
Mg 0.651 -5.543 -1.024
Os 0.000 0.000 0.000

=====

Record 30
5
Lattice="-1.854 1.013 4.289 -2.714 -3.929 -0.245 3.473 -2.530 2.099" Properties=species:S:1:pos:R:3 comment="PBE RbMgOs3, relaxed" space_group=Pm-3m m_tot_mub_per_fu=3.08 dos_ef_per_ev_atom=1.6054 dft_energy_ev_per_cell=-23.13 pbc="T T T"
Mg 0.000 0.000 0.000
Os -1.357 -1.965 -0.123
Os 1.736 -1.265 1.049
Os -0.927 0.507 2.145
Rb -0.548 -2.723 3.071